This record from OQMD via LeMat-Bulk describes Zr2Au after structural relaxation. The functional is PBE.

abc: 4.9851 8.9347 5.5725
angles: 90.00 90.00 90.00
With the nearest neighbours (Å) after each atom.
Element x y z (fractional)
1 Zr 0.2500 0.0679 0.1152  3 Au 2.87-3.05, 5 Zr 2.89-3.07
2 Zr 0.2500 0.2500 0.6161  6 Au 2.99-3.08, 6 Zr 3.20-3.23
3 Zr 0.2500 0.4321 0.1152  3 Au 2.87-3.05, 5 Zr 2.89-3.07
4 Zr 0.2500 0.7500 0.0231  8 Zr 2.89-3.20, 2 Au 2.93
5 Zr 0.7500 0.2500 0.9769  8 Zr 2.89-3.20, 2 Au 2.93
6 Zr 0.7500 0.5679 0.8848  3 Au 2.87-3.05, 5 Zr 2.89-3.07
7 Zr 0.7500 0.7500 0.3839  6 Au 2.99-3.08, 6 Zr 3.20-3.23
8 Zr 0.7500 0.9321 0.8848  3 Au 2.87-3.05, 5 Zr 2.89-3.07
9 Au 0.2500 0.5839 0.5694  7 Zr 2.87-3.08, 3 Au 2.97-3.01
10 Au 0.2500 0.9161 0.5694  7 Zr 2.87-3.08, 3 Au 2.97-3.01
11 Au 0.7500 0.0839 0.4306  7 Zr 2.87-3.08, 3 Au 2.97-3.01
12 Au 0.7500 0.4161 0.4306  7 Zr 2.87-3.08, 3 Au 2.97-3.01

Values from the calculation:
Space group: Pmmn
Energy of formation from the pure elements: -0.27 eV per atom